Entry 1:
Entry from Alexandria: crystalline Tb4YEr4 at its relaxed geometry (PBE-GGA).

For the total energy, the calculation gives -4.783 eV per atom.

It has space group I4/mmm (No. 139), with a = 10.626 Å, b = 10.626 Å, c = 4.993 Å, α = 90.00°, β = 90.00° and γ = 90.00°. Symmetry generates all atoms from Tb at (0.000, 0.333, 0.000), Y at (0.000, 0.000, 0.000) and Er at (0.167, 0.167, 0.500).



Entry 2:
Entry from Alexandria: crystalline TbY2Er at its relaxed geometry (PBE-GGA).

For the total energy, the calculation gives -5.506 eV per atom.

It has space group R-3m (No. 166, hexagonal axes), with a = 3.5551 Å, b = 3.5551 Å, c = 34.7444 Å, α = 90.00°, β = 90.00° and γ = 120.00°. Symmetry generates all atoms from Tb at (0.0000, 0.0000, 0.0000), Y at (0.0000, 0.0000, 0.2495) and Er at (0.0000, 0.0000, 0.5000).



Entry 3:
Entry from Alexandria: crystalline Tb9Y2Er3 at its relaxed geometry (PBE-GGA).

For the total energy, the calculation gives -4.750 eV per atom.

It has space group C2/m (No. 12), with a = 16.664 Å, b = 5.497 Å, c = 10.154 Å, α = 90.00°, β = 103.90° and γ = 90.00°. Symmetry generates all atoms from Tb at (0.000, 0.000, 0.000), Tb at (0.117, 0.000, 0.807), Tb at (0.167, 0.000, 0.240), Tb at (0.172, 0.500, 0.014), Tb at (0.240, 0.000, 0.592), Y at (0.034, 0.500, 0.254), Er at (0.000, 0.000, 0.500) and Er at (0.128, 0.500, 0.614).



Entry 4:
Entry from Alexandria: crystalline Tb3Y8Er3 at its relaxed geometry (PBE-GGA).

For the total energy, the calculation gives -5.542 eV per atom.

It has space group Immm (No. 71), with a = 5.632 Å, b = 10.783 Å, c = 14.904 Å, α = 90.00°, β = 90.00° and γ = 90.00°. Symmetry generates all atoms from Tb at (0.000, 0.000, 0.000), Tb at (0.000, 0.500, 0.320), Y at (0.000, 0.158, 0.278), Y at (0.000, 0.342, 0.103), Er at (0.000, 0.000, 0.500) and Er at (0.000, 0.297, 0.500).



Formation enthalpy at 0 K list, top to bottom, in eV/f.u.: 0.19; 0.10; 1.79; 1.71